# 1
Entry from the Alexandria database: Cs2BaCrBr6 after structural relaxation (PBE).

Cell lengths 11.655, 11.655, 11.655 Å; angles 90.00, 90.00, 90.00 degrees
Space group Fm-3m (No. 225)
Asymmetric unit:
Cs (0.250, 0.250, 0.250) (multiplicity 8)
Ba (0.000, 0.000, 0.000) (multiplicity 4)
Cr (0.000, 0.000, 0.500) (multiplicity 4)
Br (0.000, 0.000, 0.271) (multiplicity 24)

Calculated values
E above lowest polymorph = 3 meV/atom
DOS(E_F) = 34.92 states/eV per cell

***

# 2
Entry from the Alexandria database: Cs3BaCr2Br9 after structural relaxation (PBE).

Cell lengths 7.9172, 7.9172, 10.0886 Å; angles 90.00, 90.00, 120.00 degrees
Space group P-3m1 (No. 164)
Asymmetric unit:
Cs (0.0000, 0.0000, 0.0000) (multiplicity 1)
Cs (0.3333, 0.6667, 0.6988) (multiplicity 2)
Ba (0.0000, 0.0000, 0.5000) (multiplicity 1)
Cr (0.3333, 0.6667, 0.1479) (multiplicity 2)
Br (0.0000, 0.5000, 0.0000) (multiplicity 3)
Br (0.1779, 0.3558, 0.3024) (multiplicity 6)

Calculated values
DOS(E_F) = 2.53 states/eV per cell

***

# 3
Entry from the Alexandria database: Ba2CrGeBr after structural relaxation (PBE).

Cell lengths 6.108, 6.108, 4.478 Å; angles 90.00, 90.00, 90.00 degrees
Space group P4/mmm (No. 123)
Asymmetric unit:
Ba (0.000, 0.500, 0.000) (multiplicity 2)
Cr (0.000, 0.000, 0.000) (multiplicity 1)
Ge (0.500, 0.500, 0.500) (multiplicity 1)
Br (0.000, 0.000, 0.500) (multiplicity 1)

Calculated values
DOS(E_F) = 7.55 states/eV per cell

***

# 4
Entry from the Alexandria database: BaCrIn2Br after structural relaxation (PBE).

Cell lengths 6.759, 6.759, 6.151 Å; angles 90.00, 90.00, 90.00 degrees
Space group P4/mmm (No. 123)
Asymmetric unit:
Ba (0.000, 0.000, 0.000) (multiplicity 1)
Cr (0.000, 0.000, 0.500) (multiplicity 1)
In (0.000, 0.500, 0.000) (multiplicity 2)
Br (0.500, 0.500, 0.500) (multiplicity 1)

Calculated values
DOS(E_F) = 4.99 states/eV per cell

***

# 5
Entry from the Alexandria database: BaLa2CrBr after structural relaxation (PBE).

Cell lengths 5.652, 5.652, 6.030 Å; angles 90.00, 90.00, 90.00 degrees
Space group P4/mmm (No. 123)
Asymmetric unit:
Ba (0.000, 0.000, 0.000) (multiplicity 1)
La (0.000, 0.500, 0.500) (multiplicity 2)
Cr (0.500, 0.500, 0.000) (multiplicity 1)
Br (0.000, 0.000, 0.500) (multiplicity 1)

Calculated values
DOS(E_F) = 10.43 states/eV per cell

***

# 6
Entry from the Alexandria database: BaLi2CrBr8 after structural relaxation (PBE).

Cell lengths 6.6905, 6.6905, 8.8470 Å; angles 90.00, 90.00, 120.00 degrees
Space group P-3 (No. 147)
Asymmetric unit:
Ba (0.0000, 0.0000, 0.0000) (multiplicity 1)
Li (0.3333, 0.6667, 0.6977) (multiplicity 2)
Cr (0.0000, 0.0000, 0.5000) (multiplicity 1)
Br (0.0388, 0.7223, 0.3321) (multiplicity 6)
Br (0.3333, 0.6667, 0.9802) (multiplicity 2)

Calculated values
DOS(E_F) = 13.39 states/eV per cell

***

# 7
Entry from the Alexandria database: BaLiCrBr6 after structural relaxation (PBE).

Cell lengths 6.9268, 6.9268, 6.9341 Å; angles 90.00, 90.00, 120.00 degrees
Space group P312 (No. 149)
Asymmetric unit:
Ba (0.0000, 0.0000, 0.0000) (multiplicity 1)
Li (0.3333, 0.6667, 0.5000) (multiplicity 1)
Cr (0.6667, 0.3333, 0.5000) (multiplicity 1)
Br (0.3826, 0.0214, 0.7117) (multiplicity 6)

***

# 8
Entry from the Alexandria database: Ba2NbCrBr after structural relaxation (PBE).

Cell lengths 6.475, 6.475, 4.544 Å; angles 90.00, 90.00, 90.00 degrees
Space group P4/mmm (No. 123)
Asymmetric unit:
Ba (0.000, 0.500, 0.000) (multiplicity 2)
Nb (0.000, 0.000, 0.000) (multiplicity 1)
Cr (0.000, 0.000, 0.500) (multiplicity 1)
Br (0.500, 0.500, 0.500) (multiplicity 1)

Calculated values
DOS(E_F) = 3.83 states/eV per cell

***

Number 1: E_form (uncorrected) -35.2 kcal/mol of atoms. Number 2: E_form (uncorrected) -32.1 kcal/mol of atoms. Number 3: E_form (uncorrected) 7.6 kcal/mol of atoms. Number 4: E_form (uncorrected) 22.7 kcal/mol of atoms. Number 5: E_form (uncorrected) 13.5 kcal/mol of atoms. Number 6: E_form (uncorrected) -27.9 kcal/mol of atoms. Number 7: E_form (uncorrected) -31.4 kcal/mol of atoms. Number 8: E_form (uncorrected) 7.3 kcal/mol of atoms.